[1]
VASP calculation (GGA-PBEsol) on a relaxed structure of HfSi2PCl.

Cell: 4.633 5.136 5.136 Å, 90.00 90.00 90.00°
Element x y z (fractional)
P: 0.500 0.500 0.500
Si: 0.000 0.000 0.500
Si: 0.000 0.500 0.000
Hf: 0.000 0.000 0.000
Cl: 0.500 0.000 0.000

Properties
ΔE_f (raw) (meV/atom): 718
Calculated volume (Å³/cell): 122.21
Calculated density (Mg/m³): 4.1
Symmetry: No. 123

***

[2]
VASP calculation (GGA-PBEsol) on a relaxed structure of HfTaP2Cl.

Cell: 4.501 4.803 4.803 Å, 90.00 90.00 90.00°
Last column: magnetic moment on the atom in μB.
Element x y z (fractional)
P: 0.000 0.000 0.500  -0.01
P: 0.000 0.500 0.000  -0.01
Cl: 0.500 0.000 0.000  0.00
Hf: 0.500 0.500 0.500  0.17
Ta: 0.000 0.000 0.000  0.01

Properties
ΔE_f (raw) (meV/atom): 286
Calculated volume (Å³/cell): 103.83
Calculated density (Mg/m³): 7.3
Symmetry: No. 123

***

[3]
VASP calculation (GGA-PBEsol) on a relaxed structure of HfTcP2Cl.

Cell: 4.517 4.517 4.638 Å, 90.00 90.00 90.00°
Element x y z (fractional)
P: 0.000 0.500 0.000
P: 0.500 0.000 0.000
Hf: 0.500 0.500 0.500
Tc: 0.000 0.000 0.000
Cl: 0.000 0.000 0.500

Properties
ΔE_f (raw) (meV/atom): 421
Calculated volume (Å³/cell): 94.62
Calculated density (Mg/m³): 6.6
Symmetry: No. 123

***

[4]
VASP calculation (GGA-PBEsol) on a relaxed structure of HfTiP2Cl.

Cell: 4.729 4.932 4.932 Å, 90.00 90.00 90.00°
Last column: magnetic moment on the atom in μB.
Element x y z (fractional)
P: 0.000 0.000 0.500  -0.06
P: 0.000 0.500 0.000  -0.06
Cl: 0.500 0.000 0.000  -0.02
Hf: 0.000 0.000 0.000  0.00
Ti: 0.500 0.500 0.500  1.71

Properties
ΔE_f (raw) (meV/atom): 62
Calculated volume (Å³/cell): 115.01
Calculated density (Mg/m³): 4.7
Symmetry: No. 123

***

[5]
VASP calculation (GGA-PBEsol) on a relaxed structure of HfTlP2Cl.

Cell: 4.967 4.967 5.009 Å, 90.00 90.00 90.00°
Element x y z (fractional)
P: 0.000 0.500 0.000
P: 0.500 0.000 0.000
Tl: 0.500 0.500 0.500
Hf: 0.000 0.000 0.000
Cl: 0.000 0.000 0.500

Properties
ΔE_f (raw) (meV/atom): -324
Calculated volume (Å³/cell): 123.60
Calculated density (Mg/m³): 6.5
Symmetry: No. 123

***

[6]
VASP calculation (GGA-PBEsol) on a relaxed structure of HfPbCl3.

Cell: 4.931 4.931 4.931 Å, 90.00 90.00 90.00°
Element x y z (fractional)
Pb: 0.500 0.500 0.500
Hf: 0.000 0.000 0.000
Cl: 0.000 0.500 0.000
Cl: 0.000 0.000 0.500
Cl: 0.500 0.000 0.000

Properties
ΔE_f (raw) (meV/atom): -715
Calculated volume (Å³/cell): 119.88
Calculated density (Mg/m³): 6.8
Symmetry: No. 221

***

[7]
VASP calculation (GGA-PBEsol) on a relaxed structure of HfPb2Cl.

Cell: 5.196 5.196 5.196 Å, 60.00 60.00 60.00°
Element x y z (fractional)
Pb: 0.250 0.250 0.250
Pb: 0.750 0.750 0.750
Hf: 0.500 0.500 0.500
Cl: 0.000 0.000 0.000

Properties
ΔE_f (raw) (meV/atom): 266
Calculated volume (Å³/cell): 99.18
Calculated density (Mg/m³): 10.5
Symmetry: No. 225

***

[8]
VASP calculation (GGA-PBEsol) on a relaxed structure of HfPbS2Cl.

Cell: 5.048 5.104 5.104 Å, 90.00 90.00 90.00°
Last column: magnetic moment on the atom in μB.
Element x y z (fractional)
Pb: 0.000 0.000 0.000  -0.01
S: 0.000 0.000 0.500  -0.05
S: 0.000 0.500 0.000  -0.05
Hf: 0.500 0.500 0.500  1.03
Cl: 0.500 0.000 0.000  0.00

Properties
ΔE_f (raw) (meV/atom): 550
Calculated volume (Å³/cell): 131.54
Calculated density (Mg/m³): 6.1
Symmetry: No. 123

***

[9]
VASP calculation (GGA-PBEsol) on a relaxed structure of HfPbSCl2.

Cell: 4.893 4.893 4.934 Å, 90.00 90.00 90.00°
Element x y z (fractional)
Pb: 0.500 0.500 0.500
S: 0.000 0.000 0.500
Hf: 0.000 0.000 0.000
Cl: 0.000 0.500 0.000
Cl: 0.500 0.000 0.000

Properties
ΔE_f (raw) (meV/atom): -852
Calculated volume (Å³/cell): 118.11
Calculated density (Mg/m³): 6.9
Symmetry: No. 123

***

[10]
VASP calculation (GGA-PBEsol) on a relaxed structure of HfTlPbCl2.

Cell: 4.789 4.789 5.957 Å, 90.00 90.00 90.00°
Element x y z (fractional)
Pb: 0.500 0.500 0.500
Tl: 0.000 0.000 0.500
Hf: 0.000 0.000 0.000
Cl: 0.000 0.500 0.000
Cl: 0.500 0.000 0.000

Properties
ΔE_f (raw) (meV/atom): -429
Calculated volume (Å³/cell): 136.65
Calculated density (Mg/m³): 8.0
Symmetry: No. 123

***

[11]
VASP calculation (GGA-PBEsol) on a relaxed structure of HfPtCl2.

Cell: 6.075 6.269 6.075 Å, 61.02 90.00 118.98°
Element x y z (fractional)
Hf: 0.250 0.500 0.250
Hf: 0.500 0.000 0.500
Pt: 0.750 0.500 0.750
Pt: 0.000 0.000 0.000
Cl: 0.625 0.750 0.375
Cl: 0.125 0.750 0.875
Cl: 0.875 0.250 0.625
Cl: 0.375 0.250 0.125

Properties
ΔE_f (raw) (meV/atom): 227
Calculated volume (Å³/cell): 168.48
Calculated density (Mg/m³): 8.8
Symmetry: No. 122

***

[12]
VASP calculation (GGA-PBEsol) on a relaxed structure of RbHfSi2Cl.

Cell: 5.187 5.187 5.423 Å, 90.00 90.00 90.00°
Element x y z (fractional)
Si: 0.000 0.500 0.000
Si: 0.500 0.000 0.000
Hf: 0.000 0.000 0.500
Rb: 0.000 0.000 0.000
Cl: 0.500 0.500 0.500

Properties
ΔE_f (raw) (meV/atom): 2282
Calculated volume (Å³/cell): 145.91
Calculated density (Mg/m³): 4.0
Symmetry: No. 123

***

Number 1: DFT total energy -5.2413 eV per atom, magnetization 0.00 μB/cell. Number 2: DFT total energy -7.0431 eV per atom, magnetization 0.28 μB/cell. Number 3: DFT total energy -6.6508 eV per atom, magnetization 0.00 μB/cell. Number 4: DFT total energy -6.4208 eV per atom, magnetization 1.84 μB/cell. Number 5: DFT total energy -5.6692 eV per atom, magnetization 0.00 μB/cell. Number 6: DFT total energy -4.8201 eV per atom, magnetization 0.00 μB/cell. Number 7: DFT total energy -4.8611 eV per atom, magnetization 0.00 μB/cell. Number 8: DFT total energy -4.5051 eV per atom, magnetization 1.49 μB/cell. Number 9: DFT total energy -5.4328 eV per atom, magnetization 0.00 μB/cell. Number 10: DFT total energy -4.6586 eV per atom, magnetization 0.00 μB/cell. Number 11: DFT total energy -5.1438 eV per atom, magnetization 0.00 μB/cell. Number 12: DFT total energy -2.7241 eV per atom, magnetization 0.00 μB/cell.